Here is TcOs2W after structural relaxation from Alexandria. Energies are from PBE-GGA.

Unit cell a=6.2288 b=6.2288 c=6.2288 alpha=90.00 beta=90.00 gamma=90.00
Closest atoms and distances in Å follow each position.
Space group Fm-3m (No. 225)
Asymmetric unit:
Tc  0.0000  0.0000  0.0000 x4  8 Os 2.70
Os  0.2500  0.2500  0.2500 x8  4 W 2.70, 4 Tc 2.70
W  0.0000  0.0000  0.5000 x4  8 Os 2.70

* total moment: 0.0 μB/cell
* E_tot: -10.975 eV/atom
* relative energy among the computed polymorphs: 483 meV per atom
* energy of formation from the pure elements: 0.47 eV per atom
* mass density: 18.203 g cm⁻³